Here is a geometry-optimized Ac3Pr3Nd4 structure from Alexandria via LeMat-Bulk. Energies are from PBE.

Values from the calculation:
- energy relative to the elements (kJ/mol of formula units) = 74
- space-group type = Amm2 (38)
- DOS(E_F) (states/eV/atom) = 1.267

Cell: 3.9020 10.0201 10.0201 Å, 89.37 90.00 90.00°
Fractional positions:
Ac 0.0000 0.0000 0.0000
Ac 0.5000 0.3284 0.8270
Ac 0.5000 0.8270 0.3284
Pr 0.0000 0.1565 0.5023
Pr 0.0000 0.5023 0.1565
Pr 0.0000 0.6529 0.6529
Nd 0.5000 0.2091 0.2091
Nd 0.5000 0.4537 0.4537
Nd 0.5000 0.6941 0.9454
Nd 0.5000 0.9454 0.6941